Density functional theory data (GGA-PBE) for LiReSe after structural relaxation.

Structure (CIF):
```
data_LiReSe
_chemical_formula_sum 'Li4 Re4 Se4'
_symmetry_space_group_name_H-M 'P 1'
_symmetry_Int_Tables_number 1
_cell_length_a 5.752
_cell_length_b 5.752
_cell_length_c 5.752
_cell_angle_alpha 90.00
_cell_angle_beta 90.00
_cell_angle_gamma 90.00
loop_
_symmetry_equiv_pos_as_xyz
'x,y,z'
loop_
_atom_site_label
_atom_site_fract_x
_atom_site_fract_y
_atom_site_fract_z
_atom_site_occupancy
Li1 0.000 0.000 0.000 1
Li2 0.000 0.500 0.500 1
Li3 0.500 0.000 0.500 1
Li4 0.500 0.500 0.000 1
Re1 0.000 0.000 0.500 1
Re2 0.000 0.500 0.000 1
Re3 0.500 0.000 0.000 1
Re4 0.500 0.500 0.500 1
Se1 0.250 0.250 0.250 1
Se2 0.250 0.750 0.750 1
Se3 0.750 0.250 0.750 1
Se4 0.750 0.750 0.250 1
```

Results
The calculation puts the relative energy among the computed polymorphs at 226 meV per atom. For the energy relative to the elements, uncorrected, the calculation gives 0.32 eV per atom. Its spin magnetization is 0.00 μB per cell.